#one
# NaTcGe2Pd | Alexandria | PBE-GGA | optimized geometry
# ρ = 5.4 g/cm³
# Total magnetic moment = 0.00 μB per cell
data_NaTcGe2Pd
_cell_length_a 4.748
_cell_length_b 4.748
_cell_length_c 5.113
_cell_angle_alpha 90.00
_cell_angle_beta 90.00
_cell_angle_gamma 90.00
_symmetry_space_group_name_H-M 'P 4/m m m'
_symmetry_Int_Tables_number 123
_symmetry_space_group_name_Hall '-P 4 2'
loop_
_atom_site_label
_atom_site_type_symbol
_atom_site_fract_x
_atom_site_fract_y
_atom_site_fract_z
Na1 Na 0.000 0.000 0.000
Tc1 Tc 0.500 0.500 0.500
Ge1 Ge 0.000 0.500 0.500
Pd1 Pd 0.500 0.500 0.000


#two
# NaTcGe2Pd | Alexandria | PBE-GGA | optimized geometry
# ρ = 5.3 g/cm³
# Total magnetic moment = 0.46 μB per cell
data_NaTcGe2Pd
_cell_length_a 4.714
_cell_length_b 4.714
_cell_length_c 5.278
_cell_angle_alpha 90.00
_cell_angle_beta 90.00
_cell_angle_gamma 90.00
_symmetry_space_group_name_H-M 'P 4/m m m'
_symmetry_Int_Tables_number 123
_symmetry_space_group_name_Hall '-P 4 2'
loop_
_atom_site_label
_atom_site_type_symbol
_atom_site_fract_x
_atom_site_fract_y
_atom_site_fract_z
Na1 Na 0.000 0.000 0.000
Tc1 Tc 0.000 0.000 0.500
Ge1 Ge 0.000 0.500 0.500
Pd1 Pd 0.500 0.500 0.000


We find #one to be the most stable, with the next structure 351 meV/atom higher.


#one
# NaPmGe | Alexandria | PBE-GGA | optimized geometry
# ρ = 5.3 g/cm³
# Total magnetic moment = 0.00 μB per cell
data_NaPmGe
_cell_length_a 4.9049
_cell_length_b 4.9049
_cell_length_c 3.5921
_cell_angle_alpha 90.00
_cell_angle_beta 90.00
_cell_angle_gamma 120.00
_symmetry_space_group_name_H-M 'P 3 m 1'
_symmetry_Int_Tables_number 156
loop_
_symmetry_equiv_pos_as_xyz
'x,y,z'
'-y,x-y,z'
'-x+y,-x,z'
'-y,-x,z'
'-x+y,y,z'
'x,x-y,z'
loop_
_atom_site_label
_atom_site_type_symbol
_atom_site_fract_x
_atom_site_fract_y
_atom_site_fract_z
Na1 Na 0.0000 0.0000 0.0000
Pm1 Pm 0.3333 0.6667 0.4584
Ge1 Ge 0.6667 0.3333 0.8155


#two
# NaPmGe | Alexandria | PBE-GGA | optimized geometry
# ρ = 4.6 g/cm³
# Total magnetic moment = 0.00 μB per cell
data_NaPmGe
_cell_length_a 7.010
_cell_length_b 7.010
_cell_length_c 7.010
_cell_angle_alpha 90.00
_cell_angle_beta 90.00
_cell_angle_gamma 90.00
_symmetry_space_group_name_H-M 'F -4 3 m'
_symmetry_Int_Tables_number 216
_symmetry_space_group_name_Hall 'F -4 2 3'
loop_
_atom_site_label
_atom_site_type_symbol
_atom_site_fract_x
_atom_site_fract_y
_atom_site_fract_z
Na1 Na 0.000 0.000 0.000
Pm1 Pm 0.000 0.000 0.500
Ge1 Ge 0.250 0.250 0.750


#three
# NaPmGe | Alexandria | PBE-GGA | optimized geometry
# ρ = 4.8 g/cm³
# Total magnetic moment = 0.00 μB per cell
data_NaPmGe
_cell_length_a 10.801
_cell_length_b 4.505
_cell_length_c 7.861
_cell_angle_alpha 90.00
_cell_angle_beta 120.12
_cell_angle_gamma 90.00
_symmetry_space_group_name_H-M 'C 1 2/m 1'
_symmetry_Int_Tables_number 12
loop_
_symmetry_equiv_pos_as_xyz
'x,y,z'
'-x,-y,-z'
'-x,y,-z'
'x,-y,z'
'x+1/2,y+1/2,z'
'-x+1/2,-y+1/2,-z'
'-x+1/2,y+1/2,-z'
'x+1/2,-y+1/2,z'
loop_
_atom_site_label
_atom_site_type_symbol
_atom_site_fract_x
_atom_site_fract_y
_atom_site_fract_z
Na1 Na 0.182 0.000 0.077
Pm1 Pm 0.081 0.500 0.351
Ge1 Ge 0.134 0.000 0.636


#four
# NaPmGe | Alexandria | PBE-GGA | optimized geometry
# ρ = 4.9 g/cm³
# Total magnetic moment = 0.00 μB per cell
data_NaPmGe
_cell_length_a 5.0809
_cell_length_b 5.0809
_cell_length_c 22.1079
_cell_angle_alpha 90.00
_cell_angle_beta 90.00
_cell_angle_gamma 120.00
_symmetry_space_group_name_H-M 'R -3 m'
_symmetry_Int_Tables_number 166
_symmetry_space_group_name_Hall '-R 3 2"'
loop_
_atom_site_label
_atom_site_type_symbol
_atom_site_fract_x
_atom_site_fract_y
_atom_site_fract_z
Na1 Na 0.0000 0.0000 0.1999
Pm1 Pm 0.0000 0.0000 0.3749
Ge1 Ge 0.0000 0.0000 0.0605


We find #two to be the most stable, with the next structure 16 meV/atom higher.


#one
# Na2Ge5Pt3 | Alexandria | PBE-GGA | optimized geometry
# ρ = 9.1 g/cm³
# Total magnetic moment = 0.00 μB per cell
data_Na2Ge5Pt3
_cell_length_a 4.288
_cell_length_b 24.563
_cell_length_c 6.923
_cell_angle_alpha 90.00
_cell_angle_beta 90.00
_cell_angle_gamma 90.00
_symmetry_space_group_name_H-M 'C m c 21'
_symmetry_Int_Tables_number 36
loop_
_symmetry_equiv_pos_as_xyz
'x,y,z'
'-x,-y,z+1/2'
'-x,y,z'
'x,-y,z+1/2'
'x+1/2,y+1/2,z'
'-x+1/2,-y+1/2,z+1/2'
'-x+1/2,y+1/2,z'
'x+1/2,-y+1/2,z+1/2'
loop_
_atom_site_label
_atom_site_type_symbol
_atom_site_fract_x
_atom_site_fract_y
_atom_site_fract_z
Na1 Na 0.000 0.018 0.000
Na2 Na 0.000 0.324 0.974
Ge1 Ge 0.000 0.103 0.637
Ge2 Ge 0.000 0.206 0.187
Ge3 Ge 0.000 0.206 0.766
Ge4 Ge 0.000 0.384 0.525
Ge5 Ge 0.000 0.454 0.839
Pt1 Pt 0.000 0.105 0.266
Pt2 Pt 0.000 0.279 0.476
Pt3 Pt 0.000 0.444 0.213


#two
# Na2Ge5Pt3 | Alexandria | PBE-GGA | optimized geometry
# ρ = 8.5 g/cm³
# Total magnetic moment = 0.00 μB per cell
data_Na2Ge5Pt3
_cell_length_a 10.276
_cell_length_b 12.285
_cell_length_c 6.153
_cell_angle_alpha 90.00
_cell_angle_beta 90.00
_cell_angle_gamma 90.00
_symmetry_space_group_name_H-M 'I b a m'
_symmetry_Int_Tables_number 72
_symmetry_space_group_name_Hall '-I 2 2c'
loop_
_atom_site_label
_atom_site_type_symbol
_atom_site_fract_x
_atom_site_fract_y
_atom_site_fract_z
Na1 Na 0.233 0.138 0.000
Ge1 Ge 0.000 0.000 0.250
Ge2 Ge 0.000 0.276 0.250
Ge3 Ge 0.160 0.401 0.000
Pt1 Pt 0.000 0.500 0.250
Pt2 Pt 0.107 0.139 0.500


We find #one to be the most stable, with the next structure 9 meV/atom higher.